Computed, not measured: crystalline HfBMo2 at its relaxed geometry at the GGA-PBE level of DFT.

Calculated values
- Total magnetic moment: 0.0 μB/cell
- Space-group type: I-42d
- Energy of formation: 93 meV/atom

```
8
Lattice="7.244 0.000 0.000 0.000 7.244 0.000 3.622 3.622 2.374" Properties=species:S:1:pos:R:3 pbc="T T T"
Mo 2.481 5.433 0.593
Mo 9.055 8.385 1.780
Hf 0.000 0.000 0.000
Mo 4.763 1.811 0.593
Mo 5.433 6.103 1.780
B 3.622 3.622 0.000
Hf 7.244 3.622 1.187
B 3.622 7.244 1.187
```